# 1
{"formula": "HfGeSb2Pt", "functional": "PBE", "state": "optimized geometry", "lattice": [[5.407, 0.000, 0.000], [0.000, 5.407, 0.000], [0.000, 0.000, 5.086]], "species": ["Hf", "Ge", "Sb", "Sb", "Pt"], "frac_coords": [[0.000, 0.000, 0.000], [0.000, 0.000, 0.500], [0.000, 0.500, 0.000], [0.500, 0.000, 0.000], [0.500, 0.500, 0.500]], "dft_energy_ev_per_atom": -4.983, "dos_at_fermi_per_ev_fu": 3.4, "crystal_system": "tetragonal", "formation_energy_uncorrected_ev_per_fu": 3.94}

# 2
{"formula": "HfSiGePt2", "functional": "PBE", "state": "optimized geometry", "lattice": [[4.936, 0.000, 0.000], [0.000, 4.936, 0.000], [0.000, 0.000, 5.120]], "species": ["Hf", "Si", "Ge", "Pt", "Pt"], "frac_coords": [[0.000, 0.000, 0.000], [0.500, 0.500, 0.500], [0.000, 0.000, 0.500], [0.000, 0.500, 0.000], [0.500, 0.000, 0.000]], "dft_energy_ev_per_atom": -5.528, "dos_at_fermi_per_ev_fu": 2.3, "crystal_system": "tetragonal", "formation_energy_uncorrected_ev_per_fu": 4.43}

# 3
{"formula": "HfGeTe2Pt", "functional": "PBE", "state": "optimized geometry", "lattice": [[5.420, 0.000, 0.000], [0.000, 5.420, 0.000], [0.000, 0.000, 5.159]], "species": ["Hf", "Ge", "Te", "Te", "Pt"], "frac_coords": [[0.000, 0.000, 0.000], [0.000, 0.000, 0.500], [0.000, 0.500, 0.000], [0.500, 0.000, 0.000], [0.500, 0.500, 0.500]], "dft_energy_ev_per_atom": -4.714, "dos_at_fermi_per_ev_fu": 5.7, "crystal_system": "tetragonal", "formation_energy_uncorrected_ev_per_fu": 3.32}

# 4
{"formula": "HfGeTePt2", "functional": "PBE", "state": "optimized geometry", "lattice": [[4.980, 0.000, 0.000], [0.000, 4.980, 0.000], [0.000, 0.000, 5.465]], "species": ["Hf", "Ge", "Te", "Pt", "Pt"], "frac_coords": [[0.000, 0.000, 0.000], [0.500, 0.500, 0.500], [0.000, 0.000, 0.500], [0.000, 0.500, 0.000], [0.500, 0.000, 0.000]], "dft_energy_ev_per_atom": -5.450, "dos_at_fermi_per_ev_fu": 3.5, "crystal_system": "tetragonal", "formation_energy_uncorrected_ev_per_fu": 2.54}

Repeat the third record exactly.
{"formula": "HfGeTe2Pt", "functional": "PBE", "state": "optimized geometry", "lattice": [[5.420, 0.000, 0.000], [0.000, 5.420, 0.000], [0.000, 0.000, 5.159]], "species": ["Hf", "Ge", "Te", "Te", "Pt"], "frac_coords": [[0.000, 0.000, 0.000], [0.000, 0.000, 0.500], [0.000, 0.500, 0.000], [0.500, 0.000, 0.000], [0.500, 0.500, 0.500]], "dft_energy_ev_per_atom": -4.714, "dos_at_fermi_per_ev_fu": 5.7, "crystal_system": "tetragonal", "formation_energy_uncorrected_ev_per_fu": 3.32}